The following is a DFT calculation (GGA+U) of a relaxed structure of CaTlVO4.

Geometry as CIF:
```
data_CaTlVO4
_symmetry_space_group_name_H-M 'P 1 21/m 1'
_symmetry_Int_Tables_number 11
_symmetry_space_group_name_Hall '-P 2yb'
_cell_length_a 6.027
_cell_length_b 5.980
_cell_length_c 7.530
_cell_angle_alpha 90.00
_cell_angle_beta 103.92
_cell_angle_gamma 90.00
loop_
_atom_site_label
_atom_site_fract_x
_atom_site_fract_y
_atom_site_fract_z
Ca1 0.203 0.250 0.063
Tl1 0.294 0.250 0.601
V1 0.273 0.750 0.852
O1 0.086 0.521 0.832
O2 0.450 0.750 0.701
O3 0.458 0.750 0.066
```

Calculated values
spin magnetization: 0.00 μB per cell
total DFT energy (no corrections): -6.60 eV per atom
volume: 18.8 Å³ per atom